No. 1
## TeOsPt2 (PBE)

Data for crystalline TeOsPt2 at its relaxed geometry.

V = 69 Å³/cell

Cell: 5.6182 5.6182 5.6182 Å, 149.62 129.43 60.14°
With the nearest neighbours (Å) after each atom.
Element x y z (fractional)
Os (0.2500, 0.7500, 0.5000)  4 Pt 2.79, 4 Te 2.81, 2 Os 2.94
Pt (0.0064, 0.0064, 0.0000)  2 Os 2.79, 6 Pt 2.82-2.94, 2 Te 2.90
Pt (0.4936, 0.4936, 0.0000)  2 Os 2.79, 6 Pt 2.82-2.94, 2 Te 2.90
Te (0.7500, 0.2500, 0.5000)  4 Os 2.81, 4 Pt 2.90, 2 Te 2.94

=====

No. 2
## Te2OsPt (PBE)

Data for crystalline Te2OsPt at its relaxed geometry.

Energy above the most stable polymorph in this dataset = 0.6461 eV/atom
V = 79 Å³/cell

Cell: 3.3182 5.1988 4.5721 Å, 90.00 90.00 90.00°
With the nearest neighbours (Å) after each atom.
Element x y z (fractional)
Os (0.5000, 0.0000, 0.5000)  4 Te 2.82, 4 Pt 3.08
Pt (0.0000, 0.5000, 0.5000)  4 Te 2.82, 4 Os 3.08
Te (0.0000, 0.0000, 0.0000)  4 Os 2.82, 4 Te 3.08
Te (0.5000, 0.5000, 0.0000)  4 Pt 2.82, 4 Te 3.08

=====

No. 3
## Te2OsPt (PBE)

Data for crystalline Te2OsPt at its relaxed geometry.

Energy above the most stable polymorph in this dataset = 0.0154 eV/atom
V = 89 Å³/cell

Cell: 4.1608 4.8795 4.8694 Å, 64.75 90.00 90.00°
With the nearest neighbours (Å) after each atom.
Element x y z (fractional)
Os (0.0000, 0.5206, 0.5222)  4 Te 2.66-2.71, 2 Pt 2.68
Pt (0.5000, 0.7267, 0.7253)  2 Os 2.68, 4 Te 2.69-2.72
Te (0.0000, 0.9330, 0.9334)  2 Pt 2.69, 2 Os 2.71
Te (0.5000, 0.3197, 0.3191)  2 Os 2.66, 2 Pt 2.72

=====

No. 4
## Te2OsPt (PBE)

Data for crystalline Te2OsPt at its relaxed geometry.

Energy above the most stable polymorph in this dataset = 0.3906 eV/atom
V = 77 Å³/cell

Cell: 4.7806 4.7806 4.7806 Å, 60.00 60.00 60.00°
With the nearest neighbours (Å) after each atom.
Element x y z (fractional)
Te (0.2500, 0.2500, 0.2500)  4 Os 2.93, 4 Pt 2.93
Te (0.7500, 0.7500, 0.7500)  4 Os 2.93, 4 Pt 2.93
Os (0.0000, 0.0000, 0.0000)  8 Te 2.93
Pt (0.5000, 0.5000, 0.5000)  8 Te 2.93

=====

No. 5
## TeOsPt2 (PBE)

Data for crystalline TeOsPt2 at its relaxed geometry.

V = 69 Å³/cell

Cell: 5.0595 5.0595 4.7463 Å, 83.34 83.34 35.05°
With the nearest neighbours (Å) after each atom.
Element x y z (fractional)
Os (0.2500, 0.2500, 0.2500)  6 Pt 2.80-2.96, 4 Te 2.82, 2 Os 3.05
Pt (0.9791, 0.9791, 0.0176)  1 Te 2.68, 4 Pt 2.75-2.95, 3 Os 2.80-2.96
Pt (0.5209, 0.5209, 0.4824)  1 Te 2.68, 4 Pt 2.75-2.95, 3 Os 2.80-2.96
Te (0.7500, 0.7500, 0.7500)  2 Pt 2.68, 4 Os 2.82

=====

No. 6
## Te4OsPt (PBE)

Data for crystalline Te4OsPt at its relaxed geometry.

V = 156 Å³/cell

Cell: 6.0382 6.0382 6.0382 Å, 60.00 60.00 60.00°
With the nearest neighbours (Å) after each atom.
Element x y z (fractional)
Te (0.8756, 0.3748, 0.3748)  6 Te 3.01-3.02
Te (0.3748, 0.3748, 0.8756)  6 Te 3.01-3.02
Te (0.3748, 0.8756, 0.3748)  6 Te 3.01-3.02
Te (0.3748, 0.3748, 0.3748)  6 Te 3.01-3.02
Os (0.7500, 0.7500, 0.7500)  12 Te 3.54, 4 Pt 3.70
Pt (0.0000, 0.0000, 0.0000)  12 Te 3.54, 4 Os 3.70

=====

Per-record formation energy without anion corrections, eV per atom: 0.505 0.862 0.231 0.606 0.461 1.624